No. 1
Computed, not measured: an optimized crystal structure of LaLuCuAg at the PBE-GGA level of DFT.

calculated volume	24.00	Å³ per atom
magnetization	0.00	μB/f.u.
DOS at the Fermi energy	17.83	states/eV per cell
formation energy from the elements	-0.205	eV/atom
crystal system	cubic
ρ	8.4	g/cm3

CIF file:
```
data_LaLuCuAg
_chemical_formula_sum 'La4 Lu4 Cu4 Ag4'
_cell_length_a 7.269
_cell_length_b 7.269
_cell_length_c 7.269
_cell_angle_alpha 90.00
_cell_angle_beta 90.00
_cell_angle_gamma 90.00
_symmetry_space_group_name_H-M 'F -4 3 m'
_symmetry_Int_Tables_number 216
_symmetry_space_group_name_Hall 'F -4 2 3'
loop_
_atom_site_label
_atom_site_type_symbol
_atom_site_fract_x
_atom_site_fract_y
_atom_site_fract_z
_atom_site_occupancy
La1 La 0.000 0.000 0.000 1
Lu1 Lu 0.000 0.000 0.500 1
Cu1 Cu 0.250 0.250 0.250 1
Ag1 Ag 0.250 0.250 0.750 1
```

=====

No. 2
Computed, not measured: an optimized crystal structure of LaMgCuAg at the PBE-GGA level of DFT.

calculated volume	22.37	Å³ per atom
magnetization	0.00	μB/f.u.
DOS at the Fermi energy	13.07	states/eV per cell
formation energy from the elements	-0.202	eV/atom
crystal system	cubic
ρ	6.2	g/cm3

CIF file:
```
data_LaMgCuAg
_chemical_formula_sum 'La4 Mg4 Cu4 Ag4'
_cell_length_a 7.101
_cell_length_b 7.101
_cell_length_c 7.101
_cell_angle_alpha 90.00
_cell_angle_beta 90.00
_cell_angle_gamma 90.00
_symmetry_space_group_name_H-M 'F -4 3 m'
_symmetry_Int_Tables_number 216
_symmetry_space_group_name_Hall 'F -4 2 3'
loop_
_atom_site_label
_atom_site_type_symbol
_atom_site_fract_x
_atom_site_fract_y
_atom_site_fract_z
_atom_site_occupancy
La1 La 0.000 0.000 0.000 1
Mg1 Mg 0.000 0.000 0.500 1
Cu1 Cu 0.250 0.250 0.750 1
Ag1 Ag 0.250 0.250 0.250 1
```

=====

No. 3
Computed, not measured: an optimized crystal structure of NaLaCuAg at the PBE-GGA level of DFT.

calculated volume	24.13	Å³ per atom
magnetization	0.00	μB/f.u.
DOS at the Fermi energy	13.58	states/eV per cell
formation energy from the elements	-0.020	eV/atom
crystal system	cubic
ρ	5.7	g/cm3

CIF file:
```
data_NaLaCuAg
_chemical_formula_sum 'Na4 La4 Cu4 Ag4'
_cell_length_a 7.282
_cell_length_b 7.282
_cell_length_c 7.282
_cell_angle_alpha 90.00
_cell_angle_beta 90.00
_cell_angle_gamma 90.00
_symmetry_space_group_name_H-M 'F -4 3 m'
_symmetry_Int_Tables_number 216
_symmetry_space_group_name_Hall 'F -4 2 3'
loop_
_atom_site_label
_atom_site_type_symbol
_atom_site_fract_x
_atom_site_fract_y
_atom_site_fract_z
_atom_site_occupancy
Na1 Na 0.000 0.000 0.000 1
La1 La 0.000 0.000 0.500 1
Cu1 Cu 0.250 0.250 0.750 1
Ag1 Ag 0.250 0.250 0.250 1
```

=====

No. 4
Computed, not measured: an optimized crystal structure of LaNdCuAg at the PBE-GGA level of DFT.

calculated volume	25.76	Å³ per atom
polymorph energy (0 for the lowest one)	24	meV/atom
magnetization	0.00	μB/f.u.
DOS at the Fermi energy	14.74	states/eV per cell
formation energy from the elements	-0.173	eV/atom
crystal system	cubic
ρ	7.3	g/cm3

CIF file:
```
data_LaNdCuAg
_chemical_formula_sum 'La4 Nd4 Cu4 Ag4'
_cell_length_a 7.442
_cell_length_b 7.442
_cell_length_c 7.442
_cell_angle_alpha 90.00
_cell_angle_beta 90.00
_cell_angle_gamma 90.00
_symmetry_space_group_name_H-M 'F -4 3 m'
_symmetry_Int_Tables_number 216
_symmetry_space_group_name_Hall 'F -4 2 3'
loop_
_atom_site_label
_atom_site_type_symbol
_atom_site_fract_x
_atom_site_fract_y
_atom_site_fract_z
_atom_site_occupancy
La1 La 0.000 0.000 0.000 1
Nd1 Nd 0.000 0.000 0.500 1
Cu1 Cu 0.250 0.250 0.250 1
Ag1 Ag 0.250 0.250 0.750 1
```

=====

> Look up the ρ of the fourth one.

7.3 g/cm3

=====

> What is the formation energy from the elements in the third record?

-0.020 eV/atom

=====

> Which formula does entry 3 have?

NaLaCuAg

=====

Repeat the first record exactly.
Computed, not measured: an optimized crystal structure of LaLuCuAg at the PBE-GGA level of DFT.

calculated volume	24.00	Å³ per atom
magnetization	0.00	μB/f.u.
DOS at the Fermi energy	17.83	states/eV per cell
formation energy from the elements	-0.205	eV/atom
crystal system	cubic
ρ	8.4	g/cm3

CIF file:
```
data_LaLuCuAg
_chemical_formula_sum 'La4 Lu4 Cu4 Ag4'
_cell_length_a 7.269
_cell_length_b 7.269
_cell_length_c 7.269
_cell_angle_alpha 90.00
_cell_angle_beta 90.00
_cell_angle_gamma 90.00
_symmetry_space_group_name_H-M 'F -4 3 m'
_symmetry_Int_Tables_number 216
_symmetry_space_group_name_Hall 'F -4 2 3'
loop_
_atom_site_label
_atom_site_type_symbol
_atom_site_fract_x
_atom_site_fract_y
_atom_site_fract_z
_atom_site_occupancy
La1 La 0.000 0.000 0.000 1
Lu1 Lu 0.000 0.000 0.500 1
Cu1 Cu 0.250 0.250 0.250 1
Ag1 Ag 0.250 0.250 0.750 1
```